DFT (PBE) results for LaPm2Dy6Mg after structural relaxation.

```
LaPm2Dy6Mg
1.0
-4.458 4.694 -1.710
-7.551 -3.405 7.190
6.981 8.325 1.508
Dy Pm La Mg
12 4 2 2
direct
0.518 0.521 0.700
0.982 0.300 0.479
0.031 0.084 0.791
0.280 0.915 0.434
0.220 0.566 0.085
0.531 0.791 0.084
0.482 0.479 0.300
0.469 0.209 0.916
0.780 0.434 0.915
0.969 0.916 0.209
0.018 0.700 0.521
0.720 0.085 0.566
0.500 0.184 0.349
0.500 0.816 0.651
0.000 0.651 0.816
0.000 0.349 0.184
0.750 0.009 0.991
0.250 0.991 0.009
0.250 0.292 0.708
0.750 0.708 0.292
```

- size of the total moment (μB/f.u.) = 0.0
- crystal system = monoclinic
- SG = No. 15
- D(E_F) (states/eV per cell) = 29.65
- ρ (g/cm3) = 7.35
- calculated formation energy (eV per atom) = 0.11